(1)
Below is an optimized crystal structure of CoTcAsPd, with properties calculated at the GGA-PBE level.

CIF file:
```
data_CoTcAsPd
_cell_length_a 6.0517
_cell_length_b 6.0517
_cell_length_c 6.0517
_cell_angle_alpha 90.00
_cell_angle_beta 90.00
_cell_angle_gamma 90.00
_space_group_name_H-M_alt 'F -4 3 m'
_space_group_IT_number 216
_space_group_name_Hall 'F -4 2 3'
loop_
_atom_site_label
_atom_site_type_symbol
_atom_site_fract_x
_atom_site_fract_y
_atom_site_fract_z
Co1 Co 0.0000 0.0000 0.0000
Tc1 Tc 0.0000 0.0000 0.5000
As1 As 0.2500 0.2500 0.7500
Pd1 Pd 0.2500 0.2500 0.2500
```

Crystal system: cubic
Calculated total energy in Ry per atom: -0.4942
Offset from the most stable computed form in eV per formula unit: 0.00

(2)
Below is an optimized crystal structure of CoAsPdW, with properties calculated at the GGA-PBE level.

CIF file:
```
data_CoAsPdW
_cell_length_a 6.1698
_cell_length_b 6.1698
_cell_length_c 6.1698
_cell_angle_alpha 90.00
_cell_angle_beta 90.00
_cell_angle_gamma 90.00
_space_group_name_H-M_alt 'F -4 3 m'
_space_group_IT_number 216
_space_group_name_Hall 'F -4 2 3'
loop_
_atom_site_label
_atom_site_type_symbol
_atom_site_fract_x
_atom_site_fract_y
_atom_site_fract_z
Co1 Co 0.0000 0.0000 0.0000
As1 As 0.2500 0.2500 0.7500
Pd1 Pd 0.0000 0.0000 0.5000
W1 W 0.2500 0.2500 0.2500
```

Crystal system: cubic
Calculated total energy in Ry per atom: -0.5137
Offset from the most stable computed form in eV per formula unit: 1.06

(3)
Below is an optimized crystal structure of CoAsPdW, with properties calculated at the GGA-PBE level.

CIF file:
```
data_CoAsPdW
_cell_length_a 6.1163
_cell_length_b 6.1163
_cell_length_c 6.1163
_cell_angle_alpha 90.00
_cell_angle_beta 90.00
_cell_angle_gamma 90.00
_space_group_name_H-M_alt 'F -4 3 m'
_space_group_IT_number 216
_space_group_name_Hall 'F -4 2 3'
loop_
_atom_site_label
_atom_site_type_symbol
_atom_site_fract_x
_atom_site_fract_y
_atom_site_fract_z
Co1 Co 0.0000 0.0000 0.0000
As1 As 0.2500 0.2500 0.7500
Pd1 Pd 0.2500 0.2500 0.2500
W1 W 0.0000 0.0000 0.5000
```

Crystal system: cubic
Calculated total energy in Ry per atom: -0.5333
Offset from the most stable computed form in eV per formula unit: 0.00

(4)
Below is an optimized crystal structure of YCoAsPd, with properties calculated at the GGA-PBE level.

CIF file:
```
data_YCoAsPd
_cell_length_a 6.4747
_cell_length_b 6.4747
_cell_length_c 6.4747
_cell_angle_alpha 90.00
_cell_angle_beta 90.00
_cell_angle_gamma 90.00
_space_group_name_H-M_alt 'F -4 3 m'
_space_group_IT_number 216
_space_group_name_Hall 'F -4 2 3'
loop_
_atom_site_label
_atom_site_type_symbol
_atom_site_fract_x
_atom_site_fract_y
_atom_site_fract_z
Y1 Y 0.0000 0.0000 0.0000
Co1 Co 0.2500 0.2500 0.7500
As1 As 0.0000 0.0000 0.5000
Pd1 Pd 0.2500 0.2500 0.2500
```

Crystal system: cubic
Calculated total energy in Ry per atom: -0.4568
Offset from the most stable computed form in eV per formula unit: 0.00

(5)
Below is an optimized crystal structure of YCoAsPd, with properties calculated at the GGA-PBE level.

CIF file:
```
data_YCoAsPd
_cell_length_a 6.5659
_cell_length_b 6.5659
_cell_length_c 6.5659
_cell_angle_alpha 90.00
_cell_angle_beta 90.00
_cell_angle_gamma 90.00
_space_group_name_H-M_alt 'F -4 3 m'
_space_group_IT_number 216
_space_group_name_Hall 'F -4 2 3'
loop_
_atom_site_label
_atom_site_type_symbol
_atom_site_fract_x
_atom_site_fract_y
_atom_site_fract_z
Y1 Y 0.0000 0.0000 0.0000
Co1 Co 0.0000 0.0000 0.5000
As1 As 0.2500 0.2500 0.2500
Pd1 Pd 0.2500 0.2500 0.7500
```

Crystal system: cubic
Calculated total energy in Ry per atom: -0.4553
Offset from the most stable computed form in eV per formula unit: 0.08

(6)
Below is an optimized crystal structure of Zr4CoAs2Pd, with properties calculated at the GGA-PBE level.

CIF file:
```
data_Zr4CoAs2Pd
_cell_length_a 5.4021
_cell_length_b 3.8050
_cell_length_c 7.6920
_cell_angle_alpha 90.00
_cell_angle_beta 110.40
_cell_angle_gamma 90.00
_space_group_name_H-M_alt 'P 1 m 1'
_space_group_IT_number 6
loop_
_space_group_symop_operation_xyz
'x,y,z'
'x,-y,z'
loop_
_atom_site_label
_atom_site_type_symbol
_atom_site_fract_x
_atom_site_fract_y
_atom_site_fract_z
Zr1 Zr 0.0000 0.0000 0.0000
Zr2 Zr 0.0618 0.5000 0.6218
Zr3 Zr 0.4771 0.0000 0.4670
Zr4 Zr 0.5437 0.5000 0.1350
Co1 Co 0.1350 0.5000 0.2532
As1 As 0.6520 0.5000 0.7546
As2 As 0.9114 0.0000 0.3442
Pd1 Pd 0.4058 0.0000 0.8513
```

Crystal system: monoclinic
Calculated total energy in Ry per atom: -0.5730

(7)
Below is an optimized crystal structure of ZrCoAsPd, with properties calculated at the GGA-PBE level.

CIF file:
```
data_ZrCoAsPd
_cell_length_a 6.3265
_cell_length_b 6.3265
_cell_length_c 6.3265
_cell_angle_alpha 90.00
_cell_angle_beta 90.00
_cell_angle_gamma 90.00
_space_group_name_H-M_alt 'F -4 3 m'
_space_group_IT_number 216
_space_group_name_Hall 'F -4 2 3'
loop_
_atom_site_label
_atom_site_type_symbol
_atom_site_fract_x
_atom_site_fract_y
_atom_site_fract_z
Zr1 Zr 0.0000 0.0000 0.0000
Co1 Co 0.2500 0.2500 0.7500
As1 As 0.0000 0.0000 0.5000
Pd1 Pd 0.2500 0.2500 0.2500
```

Crystal system: cubic
Calculated total energy in Ry per atom: -0.4924

(8)
Below is an optimized crystal structure of ZrCoAsPd, with properties calculated at the GGA-PBE level.

CIF file:
```
data_ZrCoAsPd
_cell_length_a 6.3592
_cell_length_b 6.3592
_cell_length_c 6.3592
_cell_angle_alpha 90.00
_cell_angle_beta 90.00
_cell_angle_gamma 90.00
_space_group_name_H-M_alt 'F -4 3 m'
_space_group_IT_number 216
_space_group_name_Hall 'F -4 2 3'
loop_
_atom_site_label
_atom_site_type_symbol
_atom_site_fract_x
_atom_site_fract_y
_atom_site_fract_z
Zr1 Zr 0.0000 0.0000 0.0000
Co1 Co 0.0000 0.0000 0.5000
As1 As 0.2500 0.2500 0.2500
Pd1 Pd 0.2500 0.2500 0.7500
```

Crystal system: cubic
Calculated total energy in Ry per atom: -0.4925

(9)
Below is an optimized crystal structure of PrCo2SiAs, with properties calculated at the GGA-PBE level.

CIF file:
```
data_PrCo2SiAs
_cell_length_a 4.0398
_cell_length_b 4.0398
_cell_length_c 9.9866
_cell_angle_alpha 90.00
_cell_angle_beta 90.00
_cell_angle_gamma 90.00
_space_group_name_H-M_alt 'I 4 m m'
_space_group_IT_number 107
_space_group_name_Hall 'I 4 -2'
loop_
_atom_site_label
_atom_site_type_symbol
_atom_site_fract_x
_atom_site_fract_y
_atom_site_fract_z
Pr1 Pr 0.0000 0.0000 0.0000
Co1 Co 0.0000 0.5000 0.2544
Si1 Si 0.0000 0.0000 0.3614
As1 As 0.0000 0.0000 0.6311
```

Crystal system: tetragonal
Calculated total energy in Ry per atom: -0.4825

(10)
Below is an optimized crystal structure of CoAsPt, with properties calculated at the GGA-PBE level.

CIF file:
```
data_CoAsPt
_cell_length_a 5.6818
_cell_length_b 5.6818
_cell_length_c 5.6818
_cell_angle_alpha 90.00
_cell_angle_beta 90.00
_cell_angle_gamma 90.00
_space_group_name_H-M_alt 'F -4 3 m'
_space_group_IT_number 216
_space_group_name_Hall 'F -4 2 3'
loop_
_atom_site_label
_atom_site_type_symbol
_atom_site_fract_x
_atom_site_fract_y
_atom_site_fract_z
Co1 Co 0.0000 0.0000 0.0000
As1 As 0.2500 0.2500 0.2500
Pt1 Pt 0.0000 0.0000 0.5000
```

Crystal system: cubic
Calculated total energy in Ry per atom: -0.4440

(11)
Below is an optimized crystal structure of CoReAsPt, with properties calculated at the GGA-PBE level.

CIF file:
```
data_CoReAsPt
_cell_length_a 6.1214
_cell_length_b 6.1214
_cell_length_c 6.1214
_cell_angle_alpha 90.00
_cell_angle_beta 90.00
_cell_angle_gamma 90.00
_space_group_name_H-M_alt 'F -4 3 m'
_space_group_IT_number 216
_space_group_name_Hall 'F -4 2 3'
loop_
_atom_site_label
_atom_site_type_symbol
_atom_site_fract_x
_atom_site_fract_y
_atom_site_fract_z
Co1 Co 0.0000 0.0000 0.0000
Re1 Re 0.0000 0.0000 0.5000
As1 As 0.2500 0.2500 0.7500
Pt1 Pt 0.2500 0.2500 0.2500
```

Crystal system: cubic
Calculated total energy in Ry per atom: -0.5386
Offset from the most stable computed form in eV per formula unit: 0.00

(12)
Below is an optimized crystal structure of ScCoAsPt, with properties calculated at the GGA-PBE level.

CIF file:
```
data_ScCoAsPt
_cell_length_a 6.3289
_cell_length_b 6.3289
_cell_length_c 6.3289
_cell_angle_alpha 90.00
_cell_angle_beta 90.00
_cell_angle_gamma 90.00
_space_group_name_H-M_alt 'F -4 3 m'
_space_group_IT_number 216
_space_group_name_Hall 'F -4 2 3'
loop_
_atom_site_label
_atom_site_type_symbol
_atom_site_fract_x
_atom_site_fract_y
_atom_site_fract_z
Sc1 Sc 0.0000 0.0000 0.0000
Co1 Co 0.0000 0.0000 0.5000
As1 As 0.2500 0.2500 0.2500
Pt1 Pt 0.2500 0.2500 0.7500
```

Crystal system: cubic
Calculated total energy in Ry per atom: -0.4753
Offset from the most stable computed form in eV per formula unit: 0.05

(13)
Below is an optimized crystal structure of ScCoAsPt, with properties calculated at the GGA-PBE level.

CIF file:
```
data_ScCoAsPt
_cell_length_a 6.2988
_cell_length_b 6.2988
_cell_length_c 6.2988
_cell_angle_alpha 90.00
_cell_angle_beta 90.00
_cell_angle_gamma 90.00
_space_group_name_H-M_alt 'F -4 3 m'
_space_group_IT_number 216
_space_group_name_Hall 'F -4 2 3'
loop_
_atom_site_label
_atom_site_type_symbol
_atom_site_fract_x
_atom_site_fract_y
_atom_site_fract_z
Sc1 Sc 0.0000 0.0000 0.0000
Co1 Co 0.2500 0.2500 0.7500
As1 As 0.0000 0.0000 0.5000
Pt1 Pt 0.2500 0.2500 0.2500
```

Crystal system: cubic
Calculated total energy in Ry per atom: -0.4763
Offset from the most stable computed form in eV per formula unit: 0.00

(14)
Below is an optimized crystal structure of ZrCoAsPt, with properties calculated at the GGA-PBE level.

CIF file:
```
data_ZrCoAsPt
_cell_length_a 6.3769
_cell_length_b 6.3769
_cell_length_c 6.3769
_cell_angle_alpha 90.00
_cell_angle_beta 90.00
_cell_angle_gamma 90.00
_space_group_name_H-M_alt 'F -4 3 m'
_space_group_IT_number 216
_space_group_name_Hall 'F -4 2 3'
loop_
_atom_site_label
_atom_site_type_symbol
_atom_site_fract_x
_atom_site_fract_y
_atom_site_fract_z
Zr1 Zr 0.0000 0.0000 0.0000
Co1 Co 0.0000 0.0000 0.5000
As1 As 0.2500 0.2500 0.2500
Pt1 Pt 0.2500 0.2500 0.7500
```

Crystal system: cubic
Calculated total energy in Ry per atom: -0.5121
Offset from the most stable computed form in eV per formula unit: 0.00